8
Lattice="-3.638 3.638 2.573 3.638 -3.638 2.573 3.638 3.638 -2.573" Properties=species:S:1:pos:R:3 comment="TiMo2Os GGA-PBE optimized geometry" e_form_ev_per_atom=0.5138 energy_ha_per_atom=-0.3558 pbc="T T T"
Ti 0.000 0.000 0.000
Ti 0.000 3.638 1.287
Mo 1.819 -1.648 1.930
Mo 1.990 1.819 0.643
Mo 1.819 5.286 -0.643
Mo 1.648 1.819 3.217
Os 3.638 0.000 1.287
Os 0.000 0.000 2.573

***

5
Lattice="4.829 0.000 0.000 0.000 4.829 0.000 0.000 0.000 4.779" Properties=species:S:1:pos:R:3 comment="TiTlMoOs2 GGA-PBE optimized geometry" e_form_ev_per_atom=2.7859 energy_ha_per_atom=-0.2177 pbc="T T T"
Ti 0.000 0.000 0.000
Tl 0.000 0.000 2.390
Mo 2.414 2.414 0.000
Os 0.000 2.414 2.390
Os 2.414 0.000 2.390

***

4
Lattice="0.000 3.262 3.262 3.262 0.000 3.262 3.262 3.262 0.000" Properties=species:S:1:pos:R:3 comment="UTiMoOs GGA-PBE optimized geometry" e_form_ev_per_atom=-0.0834 energy_ha_per_atom=-0.3820 pbc="T T T"
U 0.000 0.000 0.000
Ti 3.262 3.262 3.262
Mo 1.631 1.631 1.631
Os 4.893 4.893 4.893

***

4
Lattice="0.000 3.133 3.133 3.133 0.000 3.133 3.133 3.133 0.000" Properties=species:S:1:pos:R:3 comment="TiMoOsW GGA-PBE optimized geometry" e_form_ev_per_atom=-0.3072 energy_ha_per_atom=-0.4055 pbc="T T T"
Ti 0.000 0.000 0.000
Mo 1.567 1.567 1.567
Os 4.700 4.700 4.700
W 3.133 3.133 3.133

***

4
Lattice="1.435 0.829 9.338 -1.435 0.829 9.338 0.000 -1.657 9.338" Properties=species:S:1:pos:R:3 comment="TlMoOs2 GGA-PBE optimized geometry" e_form_ev_per_atom=0.6204 energy_ha_per_atom=-0.3048 pbc="T T T"
Tl 0.000 0.000 0.000
Mo 0.000 0.000 21.240
Os 0.000 0.000 6.837
Os 0.000 0.000 14.073

***

3
Lattice="-1.498 1.498 6.023 1.498 -1.498 6.023 1.498 1.498 -6.023" Properties=species:S:1:pos:R:3 comment="TlMoOs GGA-PBE optimized geometry" e_form_ev_per_atom=0.4809 energy_ha_per_atom=-0.2816 pbc="T T T"
Tl 0.000 0.000 0.000
Mo 0.000 0.000 3.737
Os 0.000 0.000 8.263